# PBE MnInIr, relaxed
# volume	16.403	Å³ per atom
# VASP energy	-20.7	eV per formula unit
# DFT formation energy	0.03	eV/atom
# spin magnetization	14.984	Bohr magnetons per cell
data_MnInIr
_cell_length_a 13.904
_cell_length_b 3.061
_cell_length_c 4.691
_cell_angle_alpha 90.00
_cell_angle_beta 99.67
_cell_angle_gamma 90.00
_symmetry_space_group_name_H-M 'C 1 m 1'
_symmetry_Int_Tables_number 8
loop_
_symmetry_equiv_pos_as_xyz
'x,y,z'
'x,-y,z'
'x+1/2,y+1/2,z'
'x+1/2,-y+1/2,z'
loop_
_atom_site_label
_atom_site_fract_x
_atom_site_fract_y
_atom_site_fract_z
Mn1 0.000 0.000 0.000
Mn2 0.169 0.000 0.462
In1 0.170 0.500 0.964
In2 0.349 0.500 0.482
Ir1 0.018 0.500 0.488
Ir2 0.342 0.000 0.977